# 1
Density functional theory data (PBE) for a geometry-optimized Ac2Zn5Pt3 structure.

Output
**Magnetization**: 0.0 Bohr magnetons per cell
**Final energy**: -3.9735 eV/atom

Lattice parameters (Å, degrees): 10.8476 12.4466 6.0843 90.00 90.00 90.00
With the nearest neighbours (Å) after each atom.
Space group Ibam (No. 72)
Inequivalent atoms, fractional coordinates:
Ac 0.2305 0.1237 0.0000 (multiplicity 8)  6 Pt 3.23-3.35, 8 Zn 3.33-3.54
Zn 0.0000 0.2802 0.2500 (multiplicity 8)  3 Zn 2.60-2.74, 2 Pt 2.61
Zn 0.0000 0.5000 0.2500 (multiplicity 4)  4 Pt 2.68, 2 Zn 2.74
Zn 0.1080 0.1396 0.5000 (multiplicity 8)  3 Pt 2.59-2.60, 2 Zn 2.60
Pt 0.0000 0.0000 0.2500 (multiplicity 4)  4 Zn 2.59
Pt 0.1543 0.3848 0.0000 (multiplicity 8)  5 Zn 2.60-2.68



# 2
Density functional theory data (PBE) for a geometry-optimized Fe4Co2SiGe structure.

Output
**Magnetization**: 10.0 Bohr magnetons per cell
**Final energy**: -7.4517 eV/atom

Lattice parameters (Å, degrees): 3.9920 3.9920 5.6524 90.00 90.00 90.00
With the nearest neighbours (Å) after each atom.
Space group P-4m2 (No. 115)
Inequivalent atoms, fractional coordinates:
Fe 0.0000 0.0000 0.0000 (multiplicity 1)  4 Fe 2.43, 4 Co 2.43
Fe 0.0000 0.5000 0.2446 (multiplicity 2)  4 Fe 2.43-2.46, 2 Si 2.43, 2 Ge 2.46
Fe 0.5000 0.5000 0.5000 (multiplicity 1)  4 Co 2.46, 4 Fe 2.46
Co 0.0000 0.5000 0.7552 (multiplicity 2)  4 Fe 2.43-2.46, 2 Si 2.43, 2 Ge 2.46
Si 0.5000 0.5000 0.0000 (multiplicity 1)  4 Fe 2.43, 4 Co 2.43
Ge 0.0000 0.0000 0.5000 (multiplicity 1)  4 Co 2.46, 4 Fe 2.46



# 3
Density functional theory data (PBE) for a geometry-optimized AcNbPO structure.

Output
**ΔE to the lowest computed polymorph**: 1293 meV per atom
**Magnetization**: 0.0 Bohr magnetons per cell

Lattice parameters (Å, degrees): 4.4455 4.4455 9.0400 90.00 90.00 90.00
With the nearest neighbours (Å) after each atom.
Space group P4/nmm (No. 129, origin choice 2)
Inequivalent atoms, fractional coordinates:
Ac 0.2500 0.7500 0.0000 (multiplicity 2)  4 P 3.02, 4 Ac 3.14
Nb 0.2500 0.2500 0.4872 (multiplicity 2)  4 O 2.23, 1 P 2.36
P 0.2500 0.2500 0.2265 (multiplicity 2)  1 Nb 2.36
O 0.2500 0.7500 0.5000 (multiplicity 2)  4 Nb 2.23



# 4
Density functional theory data (PBE) for a geometry-optimized ZnPbSO structure.

Output
**ΔE to the lowest computed polymorph**: 123 meV per atom

Lattice parameters (Å, degrees): 7.1788 7.3770 12.2098 90.00 90.00 90.00
With the nearest neighbours (Å) after each atom.
Space group Pbca (No. 61)
Inequivalent atoms, fractional coordinates:
Zn 0.0615 0.1983 0.0584 (multiplicity 8)  1 O 1.98
Pb 0.2136 0.5551 0.7685 (multiplicity 8)  3 O 2.34-2.58
S 0.2205 0.5829 0.5077 (multiplicity 8)  3 Zn 2.33-2.45
O 0.0285 0.2333 0.2180 (multiplicity 8)  1 Zn 1.98



# 5
Density functional theory data (PBE) for a geometry-optimized Hf2NbBi2 structure.

Output
**Magnetization**: 0.2 Bohr magnetons per cell
**Final energy**: -6.9375 eV/atom

Lattice parameters (Å, degrees): 4.1849 4.1849 13.7730 90.00 90.00 90.00
With the nearest neighbours (Å) after each atom.
Space group I4/mmm (No. 139)
Inequivalent atoms, fractional coordinates:
Hf 0.0000 0.5000 0.2500 (multiplicity 4)  4 Bi 2.91, 4 Hf 2.96
Nb 0.0000 0.0000 0.0000 (multiplicity 2)  8 Bi 3.28
Bi 0.0000 0.0000 0.3966 (multiplicity 4)  1 Bi 2.85, 4 Hf 2.91



# 6
Density functional theory data (PBE) for a geometry-optimized ZrInAgTeS2 structure.

Output
**Magnetization**: 0.0 Bohr magnetons per cell
**Final energy**: -4.9314 eV/atom

Lattice parameters (Å, degrees): 3.8299 15.0170 10.8333 90.00 90.00 90.00
With the nearest neighbours (Å) after each atom.
Space group Cmcm (No. 63)
Inequivalent atoms, fractional coordinates:
Zr 0.0000 0.0000 0.0000 (multiplicity 4)  4 S 2.62
In 0.0000 0.2232 0.2500 (multiplicity 4)  2 Ag 3.30, 2 Te 3.36, 4 S 3.37
Ag 0.0000 0.4560 0.7500 (multiplicity 4)  2 S 2.48
Te 0.0000 0.0929 0.7500 (multiplicity 4)  2 Ag 2.81, 2 Zr 3.05
S 0.0000 0.3854 0.5426 (multiplicity 8)  1 Ag 2.48, 2 Zr 2.62



# 7
Density functional theory data (PBE) for a geometry-optimized RbPr2CuSe4 structure.

Output
**Magnetization**: 0.0 Bohr magnetons per cell
**Final energy**: -5.0300 eV/atom

Lattice parameters (Å, degrees): 4.2702 14.7362 14.7721 90.00 90.00 90.00
With the nearest neighbours (Å) after each atom.
Space group Cmcm (No. 63)
Inequivalent atoms, fractional coordinates:
Rb 0.0000 0.1075 0.2500 (multiplicity 4)  6 Se 3.38-3.49
Pr 0.0000 0.3650 0.0627 (multiplicity 8)  6 Se 2.93-3.06
Cu 0.0000 0.1619 0.7500 (multiplicity 4)  4 Se 2.50-2.52
Se 0.0000 0.0000 0.0000 (multiplicity 4)  4 Pr 3.06
Se 0.0000 0.2636 0.6148 (multiplicity 8)  1 Cu 2.50
Se 0.0000 0.4294 0.2500 (multiplicity 4)  2 Cu 2.52



# 8
Density functional theory data (PBE) for a geometry-optimized DyEr2 structure.

Output
**ΔE to the lowest computed polymorph**: 2538 meV per atom
**Magnetization**: 40.1 Bohr magnetons per cell

Lattice parameters (Å, degrees): 14.4456 14.4456 14.4456 90.00 90.00 90.00
With the nearest neighbours (Å) after each atom.
Space group Fd-3m (No. 227, origin choice 2)
Inequivalent atoms, fractional coordinates:
Dy 0.1250 0.1250 0.1250 (multiplicity 8)  4 Er 3.13
Er 0.0000 0.0000 0.0000 (multiplicity 16)  2 Dy 3.13



# 9
Density functional theory data (PBE) for a geometry-optimized FeBIrW structure.

Output
**ΔE to the lowest computed polymorph**: 45 meV per atom
**Magnetization**: 9.5 Bohr magnetons per cell

Lattice parameters (Å, degrees): 5.8906 5.8906 5.8906 90.00 90.00 90.00
With the nearest neighbours (Å) after each atom.
Space group F-43m (No. 216)
Inequivalent atoms, fractional coordinates:
Fe 0.0000 0.0000 0.0000 (multiplicity 4)  4 Ir 2.55, 4 B 2.55
B 0.2500 0.2500 0.7500 (multiplicity 4)  4 W 2.55, 4 Fe 2.55
Ir 0.2500 0.2500 0.2500 (multiplicity 4)  4 W 2.55, 4 Fe 2.55
W 0.0000 0.0000 0.5000 (multiplicity 4)  4 B 2.55, 4 Ir 2.55



# 10
Density functional theory data (PBE) for a geometry-optimized Rb2Re3Se6 structure.

Output
**Magnetization**: 0.0 Bohr magnetons per cell
**Final energy**: -6.1312 eV/atom

Lattice parameters (Å, degrees): 17.8557 10.2395 12.6207 90.00 91.21 90.00
With the nearest neighbours (Å) after each atom.
Space group C2/c (No. 15)
Inequivalent atoms, fractional coordinates:
Rb 0.0000 0.1139 0.2500 (multiplicity 4)  6 Se 3.42-3.72
Rb 0.0000 0.2815 0.7500 (multiplicity 4)  8 Se 3.36-3.68
Rb 0.1122 0.2518 0.0191 (multiplicity 8)  6 Se 3.30-3.47
Re 0.1608 0.3423 0.4771 (multiplicity 8)  5 Se 2.53-2.64, 4 Re 2.65-2.66
Re 0.2104 0.1756 0.6235 (multiplicity 8)  5 Se 2.52-2.67, 4 Re 2.65-2.68
Re 0.2114 0.1106 0.4181 (multiplicity 8)  5 Se 2.52-2.67, 4 Re 2.65-2.68
Se 0.0345 0.4605 0.4219 (multiplicity 8)  1 Se 2.48, 1 Re 2.64
Se 0.0884 0.1310 0.5190 (multiplicity 8)  3 Re 2.56-2.58
Se 0.1520 0.0810 0.8003 (multiplicity 8)  2 Re 2.67
Se 0.1644 0.4045 0.6714 (multiplicity 8)  3 Re 2.52-2.56
Se 0.1663 0.2798 0.2827 (multiplicity 8)  3 Re 2.52-2.55
Se 0.2403 0.4576 0.9353 (multiplicity 8)  3 Re 2.52-2.56



# 11
Density functional theory data (PBE) for a geometry-optimized GdSiNi2Ge structure.

Output
**Magnetization**: 0.0 Bohr magnetons per cell
**Final energy**: -5.9492 eV/atom

Lattice parameters (Å, degrees): 4.0351 4.0351 9.6764 90.00 90.00 90.00
With the nearest neighbours (Å) after each atom.
Space group I4mm (No. 107)
Inequivalent atoms, fractional coordinates:
Gd 0.0000 0.0000 0.0000 (multiplicity 2)  4 Ge 3.10, 8 Ni 3.11-3.19, 4 Si 3.12
Si 0.0000 0.0000 0.6311 (multiplicity 2)  4 Ni 2.30, 1 Ge 2.49
Ni 0.0000 0.5000 0.2443 (multiplicity 4)  2 Si 2.30, 2 Ge 2.38
Ge 0.0000 0.0000 0.3742 (multiplicity 2)  4 Ni 2.38, 1 Si 2.49



# 12
Density functional theory data (PBE) for a geometry-optimized Sm2Dy2CI2Cl3 structure.

Output
**ΔE to the lowest computed polymorph**: 5 meV per atom
**Magnetization**: 0.3 Bohr magnetons per cell

Lattice parameters (Å, degrees): 18.4575 3.8357 7.9758 90.00 101.03 90.00
With the nearest neighbours (Å) after each atom.
Space group C2/m (No. 12)
Inequivalent atoms, fractional coordinates:
Sm 0.1363 0.0000 0.0741 (multiplicity 4)  1 C 2.47
Dy 0.0019 0.5000 0.7931 (multiplicity 4)  2 C 2.53, 1 Cl 2.72
C 0.0000 0.0000 0.0000 (multiplicity 2)  2 Sm 2.47, 4 Dy 2.53
I 0.1726 0.5000 0.7920 (multiplicity 4)  3 Sm 3.12-3.48, 1 Dy 3.15
Cl 0.0000 0.0000 0.5000 (multiplicity 2)  4 Dy 3.02
Cl 0.1462 0.5000 0.3314 (multiplicity 4)  1 Dy 2.72, 2 Sm 2.79



Computed calculated volume (Å³ per atom) in order:
20.54 11.26 22.33 20.21 24.12 25.96 29.05 125.60 12.77 26.22 15.76 27.71